Ca2SbSe | PBE | optimized geometry

Cell and atoms, written as CIF:
```
data_Ca2SbSe
_chemical_formula_sum 'Ca2 Sb1 Se1'
_space_group_name_H-M_alt 'P 1'
_space_group_IT_number 1
_cell_length_a 5.102
_cell_length_b 6.373
_cell_length_c 6.373
_cell_angle_alpha 33.23
_cell_angle_beta 90.00
_cell_angle_gamma 90.00
loop_
_space_group_symop_operation_xyz
'x,y,z'
loop_
_atom_site_label
_atom_site_fract_x
_atom_site_fract_y
_atom_site_fract_z
Ca1 0.000 0.000 0.000
Ca2 0.500 0.253 0.253
Sb1 0.500 0.517 0.517
Se1 0.000 0.760 0.760
```

- electronic total energy (eV/atom) = -4.091
- energy relative to the elements, uncorrected (kcal/mol of atoms) = -27.4
- polymorph energy (0 for the lowest one) (meV/atom) = 190
- space-group type = Amm2